The following is a PBE calculation of a geometry-optimized Tb2Dy2Te5 structure, from Alexandria via LeMat-Bulk.

Cell: 6.078 9.717 6.140 Å, 90.01 90.00 108.22°
Sites, in units of the cell vectors:
Tb 0.157 0.314 0.000
Tb 0.843 0.686 0.000
Dy 0.316 0.633 0.500
Dy 0.684 0.367 0.500
Te 0.332 0.664 0.000
Te 0.668 0.336 0.000
Te 0.152 0.305 0.500
Te 0.848 0.695 0.500
Te 0.000 0.000 0.000

space group: Cmmm
uncorrected formation energy: -1203.4 meV per atom
theoretical density: 6.2 g/cm³


The following is a PBE calculation of a geometry-optimized Tb5DyTe8 structure, from Alexandria via LeMat-Bulk.

Cell: 8.316 8.316 8.316 Å, 106.34 115.93 106.34°
Sites, in units of the cell vectors:
Tb 0.076 0.451 0.125
Tb 0.875 0.951 0.326
Tb 0.674 0.549 0.625
Tb 0.500 0.000 0.500
Tb 0.375 0.049 0.924
Dy 0.250 0.500 0.750
Te 0.126 0.757 0.984
Te 0.016 0.141 0.773
Te 0.735 0.257 0.375
Te 0.625 0.360 0.882
Te 0.522 0.640 0.265
Te 0.631 0.859 0.874
Te 0.227 0.243 0.369
Te 0.118 0.743 0.478

space group: I-4
uncorrected formation energy: -1334.7 meV per atom
theoretical density: 7.5 g/cm³


The following is a PBE calculation of a geometry-optimized Tb5DyTe6 structure, from Alexandria via LeMat-Bulk.

Cell: 7.545 7.562 7.586 Å, 60.10 80.35 70.34°
Sites, in units of the cell vectors:
Tb 0.500 0.168 0.664
Tb 0.000 0.333 0.334
Tb 0.500 0.500 0.000
Tb 0.000 0.667 0.666
Tb 0.500 0.832 0.336
Dy 0.000 0.000 0.000
Te 0.751 0.083 0.332
Te 0.249 0.585 0.332
Te 0.250 0.249 0.000
Te 0.750 0.751 0.000
Te 0.751 0.415 0.668
Te 0.249 0.917 0.668

space group: C2/m
uncorrected formation energy: -1305.8 meV per atom
theoretical density: 8.1 g/cm³